Record 1
TiCo2SnO6 | Alexandria via LeMat-Bulk | PBE+U | relaxed; DOS at the Fermi energy = 0.0 states/eV/f.u.; crystal system = trigonal; E = -6.975 eV per atom
1.0
2.616 1.510 4.673
-2.616 1.510 4.673
0.000 -3.020 4.673
Ti Co Sn O
1 2 1 6
direct
0.000 0.000 0.000
0.210 0.210 0.210
0.717 0.717 0.717
0.503 0.503 0.503
0.114 0.390 0.801
0.278 0.902 0.631
0.390 0.801 0.114
0.631 0.278 0.902
0.801 0.114 0.390
0.902 0.631 0.278

***

Record 2
MnZnTeO6 | Alexandria via LeMat-Bulk | PBE+U | relaxed; DOS at the Fermi energy = 0.0 states/eV/f.u.; crystal system = trigonal; E = -5.807 eV per atom
1.0
5.060 0.000 0.000
-2.530 4.382 0.000
0.000 0.000 9.145
Mn Zn Te O
2 2 2 12
direct
0.333 0.667 0.250
0.667 0.333 0.750
0.000 0.000 0.000
0.000 0.000 0.500
0.333 0.667 0.750
0.667 0.333 0.250
0.003 0.359 0.134
0.003 0.644 0.366
0.356 0.359 0.366
0.356 0.997 0.134
0.359 0.003 0.634
0.359 0.356 0.866
0.641 0.644 0.134
0.641 0.997 0.366
0.644 0.003 0.866
0.644 0.641 0.634
0.997 0.356 0.634
0.997 0.641 0.866